Record 1
The following is a PBE calculation of a relaxed structure of MgP2PtCl, from the Alexandria database.

Cell: 4.6418 4.6418 5.2103 Å, 90.00 90.00 90.00°
With the nearest neighbours (Å) after each atom.
Atoms (fractional coordinates):
Cl  0.0000  0.0000  0.5000  2 Pt 2.61
Mg  0.5000  0.5000  0.5000  4 Cl 3.28, 8 P 3.49
Pt  0.0000  0.0000  0.0000  4 P 2.32
P  0.5000  0.0000  0.0000  2 Pt 2.32
P  0.0000  0.5000  0.0000  2 Pt 2.32

Results
crystal system	tetragonal
offset from the most stable computed form	0.0	meV per atom
raw formation energy	0.285	eV/atom
SG	P4/mmm, No. 123

=====

Record 2
The following is a PBE calculation of a relaxed structure of Ca8Mg, from the Alexandria database.

Cell: 5.3779 8.5451 8.5451 Å, 84.32 71.66 71.66°
With the nearest neighbours (Å) after each atom.
Atoms (fractional coordinates):
Ca  0.6604  0.6792  0.0000  10 Ca 3.68-3.96, 2 Mg 3.74
Ca  0.3281  0.6719  0.6719  1 Mg 3.76, 11 Ca 3.78-3.94
Ca  0.3396  0.0000  0.3208  10 Ca 3.68-3.96, 2 Mg 3.74
Ca  0.6719  0.3281  0.3281  1 Mg 3.76, 11 Ca 3.78-3.94
Ca  0.3396  0.3208  0.0000  10 Ca 3.68-3.96, 2 Mg 3.74
Ca  0.0000  0.3281  0.6719  1 Mg 3.76, 11 Ca 3.78-3.94
Ca  0.0000  0.6719  0.3281  1 Mg 3.76, 11 Ca 3.78-3.94
Ca  0.6604  0.0000  0.6792  10 Ca 3.68-3.96, 2 Mg 3.74
Mg  0.0000  0.0000  0.0000  12 Ca 3.74-3.76

Results
crystal system	tetragonal
formation energy	-0.0001	eV per atom
SG	I4/mmm, No. 139

=====

Record 3
The following is a PBE calculation of a relaxed structure of LiLu2Hf, from the Alexandria database.

Cell: 3.3428 3.3428 8.9481 Å, 90.00 90.00 90.00°
With the nearest neighbours (Å) after each atom.
Atoms (fractional coordinates):
Lu  0.0000  0.0000  0.7458  4 Hf 3.23, 4 Li 3.28, 4 Lu 3.34
Lu  0.0000  0.0000  0.2542  4 Hf 3.23, 4 Li 3.28, 4 Lu 3.34
Li  0.5000  0.5000  0.0000  8 Lu 3.28, 4 Li 3.34
Hf  0.5000  0.5000  0.5000  8 Lu 3.23, 4 Hf 3.34

Results
crystal system	tetragonal
offset from the most stable computed form	0.0	meV per atom
formation energy	0.0882	eV per atom
SG	P4/mmm, No. 123

=====

Record 4
The following is a PBE calculation of a relaxed structure of Pr2NdHoPt2, from the Alexandria database.

Cell: 6.9231 6.9353 8.6814 Å, 113.54 113.50 90.00°
With the nearest neighbours (Å) after each atom.
Atoms (fractional coordinates):
Pr  0.8074  0.5122  0.6149  1 Pt 2.87
Pr  0.1926  0.4878  0.3851  1 Pt 2.87
Pr  0.3074  0.1027  0.6149  1 Pt 2.87
Pr  0.6926  0.8973  0.3851  1 Pt 2.87
Pt  0.1098  0.8389  0.2196  2 Ho 2.83, 1 Pr 2.87, 2 Nd 3.00
Pt  0.6098  0.3807  0.2196  2 Ho 2.83, 1 Pr 2.87, 2 Nd 3.00
Pt  0.3902  0.6193  0.7804  2 Ho 2.83, 1 Pr 2.87, 2 Nd 3.00
Pt  0.8902  0.1611  0.7804  2 Ho 2.83, 1 Pr 2.87, 2 Nd 3.00
Ho  0.2500  0.5000  0.0000  4 Pt 2.83
Ho  0.7500  0.5000  0.0000  4 Pt 2.83
Nd  0.7500  0.0000  0.0000  4 Pt 3.00
Nd  0.2500  0.0000  0.0000  4 Pt 3.00

Results
crystal system	orthorhombic
formation energy	-0.7901	eV per atom
SG	Ibam, No. 72

=====

Record 5
The following is a PBE calculation of a relaxed structure of NdPtPbO6, from the Alexandria database.

Cell: 5.7186 5.7186 8.9255 Å, 90.00 90.00 120.00°
With the nearest neighbours (Å) after each atom.
Atoms (fractional coordinates):
O  0.6279  0.6727  0.6234  1 Pt 2.01
O  0.6727  0.6279  0.1234  1 Pt 2.01
O  0.3721  0.3273  0.3766  1 Pt 2.01
O  0.0448  0.3721  0.6234  1 Pt 2.01
O  0.6727  0.0448  0.3766  1 Pt 2.01
O  0.3273  0.3721  0.8766  1 Pt 2.01
O  0.3721  0.0448  0.1234  1 Pt 2.01
O  0.9552  0.6279  0.3766  1 Pt 2.01
O  0.0448  0.6727  0.8766  1 Pt 2.01
O  0.3273  0.9552  0.6234  1 Pt 2.01
O  0.6279  0.9552  0.8766  1 Pt 2.01
O  0.9552  0.3273  0.1234  1 Pt 2.01
Pt  0.6667  0.3333  0.2500  6 O 2.01
Pt  0.3333  0.6667  0.7500  6 O 2.01
Nd  0.3333  0.6667  0.2500  6 O 2.35
Nd  0.6667  0.3333  0.7500  6 O 2.35
Pb  0.0000  0.0000  0.0000  6 O 2.29
Pb  0.0000  0.0000  0.5000  6 O 2.29

Results
crystal system	trigonal
raw formation energy	-1.244	eV/atom
SG	P-31c, No. 163

=====

Record 6
The following is a PBE calculation of a relaxed structure of HoZnPd5, from the Alexandria database.

Cell: 4.1403 4.1403 7.0607 Å, 90.00 90.00 90.00°
With the nearest neighbours (Å) after each atom.
Atoms (fractional coordinates):
Zn  0.5000  0.5000  0.0000  8 Pd 2.56
Pd  0.0000  0.5000  0.7857  2 Zn 2.56
Pd  0.5000  0.0000  0.7857  2 Zn 2.56
Pd  0.5000  0.5000  0.5000  8 Pd 2.89, 4 Ho 2.93
Pd  0.0000  0.5000  0.2143  2 Zn 2.56
Pd  0.5000  0.0000  0.2143  2 Zn 2.56
Ho  0.0000  0.0000  0.5000  12 Pd 2.89-2.93

Results
crystal system	tetragonal
formation energy	-0.5677	eV per atom
SG	P4/mmm, No. 123

=====

Calculated values (Å³ per cell) of V for the records, taken in order: 112.3, 353.8, 100.0, 344.1, 252.8, 121.0.
Calculated values (μB/atom) of magnetic moment for the records, taken in order: 0.00, 0.00, 0.00, 0.00, 0.00, 0.00.